This record from the Alexandria database describes a relaxed RbCaCdO2 crystal. The functional is PBE-GGA.

Cell lengths 4.8441, 4.8441, 5.6103 Å; angles 90.00, 90.00, 90.00 degrees
Last column: nearest neighbours and their distance in Å.
Space group P4/mmm (No. 123)
Asymmetric unit:
1 Rb 0.0000 0.0000 0.0000  4 O 2.42
2 Ca 0.0000 0.0000 0.5000  2 Rb 2.81
3 Cd 0.5000 0.5000 0.5000  4 Ca 3.43, 8 O 3.71
4 O 0.0000 0.5000 0.0000  2 Rb 2.42

Calculated values
- Formation energy from raw total energies: 0.35 eV per atom
- Magnetization: 1.330 Bohr magnetons per cell